ScAlIO2: optimized geometry, PBE.

Cell and atoms, written as POSCAR:
```
ScAlIO2
1.0
-0.6329 4.0482 0.4232
-1.9001 -0.6726 3.5924
5.2408 0.5194 2.8693
I Sc Al O
1 1 1 2
Direct
0.0000 0.0000 0.5000
0.0000 0.0000 0.0000
0.5000 0.5000 0.5000
0.0000 0.5000 0.0000
0.5000 0.0000 0.0000
```

## Properties
Electronic total energy: -5.488 eV/atom
Magnetic moment: 0.000 μB per formula unit